[1]
# Cu3Pd3Pt PBE relaxed
# - energy relative to the elements (meV/atom) = -92
# - crystal system = trigonal
# - energy above the most stable polymorph in this dataset (eV/atom) = 0.000
data_Cu3Pd3Pt
_space_group_name_H-M_alt 'R -3'
_space_group_IT_number 148
_space_group_name_Hall '-R 3'
_cell_length_a 7.1702
_cell_length_b 7.1702
_cell_length_c 13.2913
_cell_angle_alpha 90.00
_cell_angle_beta 90.00
_cell_angle_gamma 120.00
loop_
_atom_site_label
_atom_site_type_symbol
_atom_site_fract_x
_atom_site_fract_y
_atom_site_fract_z
Cu1 Cu 0.0480 0.8133 0.4177
Pd1 Pd 0.0388 0.7983 0.9151
Pt1 Pt 0.0000 0.0000 0.2580

---

[2]
# B3Pt6Pb PBE relaxed
# - energy relative to the elements (meV/atom) = -123
# - crystal system = orthorhombic
data_B3Pt6Pb
_space_group_name_H-M_alt 'C m c 21'
_space_group_IT_number 36
_cell_length_a 8.136
_cell_length_b 14.498
_cell_length_c 5.427
_cell_angle_alpha 90.00
_cell_angle_beta 90.00
_cell_angle_gamma 90.00
loop_
_space_group_symop_operation_xyz
'x,y,z'
'-x,-y,z+1/2'
'-x,y,z'
'x,-y,z+1/2'
'x+1/2,y+1/2,z'
'-x+1/2,-y+1/2,z+1/2'
'-x+1/2,y+1/2,z'
'x+1/2,-y+1/2,z+1/2'
loop_
_atom_site_label
_atom_site_type_symbol
_atom_site_fract_x
_atom_site_fract_y
_atom_site_fract_z
B1 B 0.000 0.076 0.000
B2 B 0.201 0.418 0.914
Pt1 Pt 0.000 0.330 0.958
Pt2 Pt 0.000 0.486 0.273
Pt3 Pt 0.168 0.025 0.719
Pt4 Pt 0.178 0.169 0.141
Pb1 Pb 0.000 0.280 0.468

---

[3]
# K3Nd2PuTe6 PBE relaxed
# - crystal system = monoclinic
# - formation energy without anion corrections (kJ/mol of atoms) = -125.88
data_K3Nd2PuTe6
_space_group_name_H-M_alt 'C 1 2/m 1'
_space_group_IT_number 12
_cell_length_a 7.991
_cell_length_b 13.842
_cell_length_c 8.643
_cell_angle_alpha 90.00
_cell_angle_beta 107.94
_cell_angle_gamma 90.00
loop_
_space_group_symop_operation_xyz
'x,y,z'
'-x,-y,-z'
'-x,y,-z'
'x,-y,z'
'x+1/2,y+1/2,z'
'-x+1/2,-y+1/2,-z'
'-x+1/2,y+1/2,-z'
'x+1/2,-y+1/2,z'
loop_
_atom_site_label
_atom_site_type_symbol
_atom_site_fract_x
_atom_site_fract_y
_atom_site_fract_z
K1 K 0.000 0.000 0.000
K2 K 0.000 0.332 0.000
Nd1 Nd 0.000 0.166 0.500
Pu1 Pu 0.000 0.500 0.500
Te1 Te 0.236 0.335 0.713
Te2 Te 0.241 0.000 0.713

---

[4]
# Ac2Mg4Cd3Hg PBE relaxed
# - energy relative to the elements (meV/atom) = -222
# - crystal system = tetragonal
data_Ac2Mg4Cd3Hg
_space_group_name_H-M_alt 'P -4 m 2'
_space_group_IT_number 115
_cell_length_a 4.855
_cell_length_b 4.855
_cell_length_c 11.650
_cell_angle_alpha 90.00
_cell_angle_beta 90.00
_cell_angle_gamma 90.00
loop_
_space_group_symop_operation_xyz
'x,y,z'
'y,-x,-z'
'-x,-y,z'
'-y,x,-z'
'-x,y,z'
'-y,-x,-z'
'x,-y,z'
'y,x,-z'
loop_
_atom_site_label
_atom_site_type_symbol
_atom_site_fract_x
_atom_site_fract_y
_atom_site_fract_z
Ac1 Ac 0.000 0.500 0.243
Mg1 Mg 0.000 0.000 0.500
Mg2 Mg 0.000 0.500 0.873
Mg3 Mg 0.500 0.500 0.500
Cd1 Cd 0.000 0.000 0.000
Cd2 Cd 0.000 0.500 0.636
Hg1 Hg 0.500 0.500 0.000

---

| no. | density of states at the Fermi level (states/eV per atom) | V (Å³ per atom) |
| --- | --- | --- |
| 1 | 1.137 | 14.090 |
| 2 | 0.267 | 16.004 |
| 3 | 1.195 | 37.897 |
| 4 | 1.036 | 27.457 |